Entry 1:
# YFe3Mo, PBEsol geometry, DFT meta-GGA SCAN
# Total magnetic moment, μB per formula unit: 3.7
# Formation energy, eV per atom: 0.922
data_YFe3Mo
_chemical_formula_sum 'Y1 Fe3 Mo1'
_cell_length_a 4.380
_cell_length_b 4.380
_cell_length_c 4.380
_cell_angle_alpha 90.00
_cell_angle_beta 90.00
_cell_angle_gamma 90.00
_symmetry_space_group_name_H-M 'P m -3 m'
_symmetry_Int_Tables_number 221
_symmetry_space_group_name_Hall '-P 4 2 3'
loop_
_atom_site_label
_atom_site_type_symbol
_atom_site_fract_x
_atom_site_fract_y
_atom_site_fract_z
_atom_site_occupancy
Y1 Y 0.000 0.000 0.000 1
Fe1 Fe 0.000 0.500 0.500 1
Mo1 Mo 0.500 0.500 0.500 1

***

Entry 2:
# YFeMo2, PBEsol geometry, DFT meta-GGA SCAN
# Total magnetic moment, μB per formula unit: 2.4
# Distance to the lowest polymorph of the same formula, eV per atom: 0.3467
# Formation energy, eV per atom: 0.639
data_YFeMo2
_chemical_formula_sum 'Y2 Fe2 Mo4'
_cell_length_a 5.220
_cell_length_b 9.478
_cell_length_c 2.677
_cell_angle_alpha 90.00
_cell_angle_beta 90.00
_cell_angle_gamma 90.00
_symmetry_space_group_name_H-M 'C m m m'
_symmetry_Int_Tables_number 65
_symmetry_space_group_name_Hall '-C 2 2'
loop_
_atom_site_label
_atom_site_type_symbol
_atom_site_fract_x
_atom_site_fract_y
_atom_site_fract_z
_atom_site_occupancy
Y1 Y 0.000 0.000 0.000 1
Fe1 Fe 0.000 0.500 0.000 1
Mo1 Mo 0.250 0.250 0.500 1

***

Entry 3:
# YFeMo2, PBEsol geometry, DFT meta-GGA SCAN
# Total magnetic moment, μB per formula unit: 1.8
# Distance to the lowest polymorph of the same formula, eV per atom: 0.2467
# Formation energy, eV per atom: 0.539
data_YFeMo2
_chemical_formula_sum 'Y1 Fe1 Mo2'
_cell_length_a 2.822
_cell_length_b 4.617
_cell_length_c 5.071
_cell_angle_alpha 90.00
_cell_angle_beta 100.92
_cell_angle_gamma 90.00
_symmetry_space_group_name_H-M 'P 1 2/m 1'
_symmetry_Int_Tables_number 10
loop_
_symmetry_equiv_pos_as_xyz
'x,y,z'
'-x,-y,-z'
'-x,y,-z'
'x,-y,z'
loop_
_atom_site_label
_atom_site_type_symbol
_atom_site_fract_x
_atom_site_fract_y
_atom_site_fract_z
_atom_site_occupancy
Y1 Y 0.000 0.000 0.000 1
Fe1 Fe 0.500 0.000 0.500 1
Mo1 Mo 0.272 0.500 0.741 1

***

Entry 4:
# YFeMo2, PBEsol geometry, DFT meta-GGA SCAN
# Total magnetic moment, μB per formula unit: 0.0
# Distance to the lowest polymorph of the same formula, eV per atom: 0.2717
# Formation energy, eV per atom: 0.564
data_YFeMo2
_chemical_formula_sum 'Y2 Fe2 Mo4'
_cell_length_a 3.930
_cell_length_b 3.944
_cell_length_c 8.329
_cell_angle_alpha 90.00
_cell_angle_beta 90.00
_cell_angle_gamma 90.00
_symmetry_space_group_name_H-M 'C m m m'
_symmetry_Int_Tables_number 65
_symmetry_space_group_name_Hall '-C 2 2'
loop_
_atom_site_label
_atom_site_type_symbol
_atom_site_fract_x
_atom_site_fract_y
_atom_site_fract_z
_atom_site_occupancy
Y1 Y 0.000 0.000 0.000 1
Fe1 Fe 0.000 0.000 0.500 1
Mo1 Mo 0.000 0.500 0.302 1